[1]
Entry from the Alexandria database: crystalline La2CeTl at its relaxed geometry (PBE).

Unit cell a=11.6190 b=7.2040 c=5.9623 alpha=90.00 beta=99.90 gamma=90.00
Closest atoms and distances in Å follow each position.
Space group C2/m (No. 12)
One atom of each set of equivalent atoms:
La  0.1173  0.2406  0.2861 x8  1 Ce 2.97
Ce  0.0843  0.5000  0.7835 x4  2 La 2.97
Tl  0.1456  0.0000  0.8017 x4  8 La 3.43-3.49, 3 Ce 3.65-3.67

Values from the calculation:
- polymorph energy (0 for the lowest one) (eV per atom) = 0.0000
- electronic total energy (eV per atom) = -4.72
- mass density (g/cm3) = 8.408
- formation energy from the elements (eV/f.u.) = -0.73

[2]
Entry from the Alexandria database: crystalline AgRhBr2 at its relaxed geometry (PBE).

Unit cell a=3.8025 b=3.8025 c=6.0285 alpha=90.00 beta=90.00 gamma=90.00
Closest atoms and distances in Å follow each position.
Space group P4mm (No. 99)
One atom of each set of equivalent atoms:
Ag  0.0000  0.0000  0.0000 x1  5 Br 2.67-2.84
Rh  0.5000  0.5000  0.5816 x1  5 Br 2.59-2.69
Br  0.0000  0.0000  0.5563 x1  1 Ag 2.67, 4 Rh 2.69
Br  0.5000  0.5000  0.1518 x1  1 Rh 2.59, 4 Ag 2.84

Values from the calculation:
- polymorph energy (0 for the lowest one) (eV per atom) = 0.2563
- electronic total energy (eV per atom) = -3.21
- uncorrected formation energy (meV per atom) = 177
- mass density (g/cm3) = 7.060

[3]
Entry from the Alexandria database: crystalline TaTlPbO4 at its relaxed geometry (PBE).

Unit cell a=7.0504 b=6.3521 c=7.4990 alpha=90.00 beta=99.32 gamma=90.00
Closest atoms and distances in Å follow each position.
Space group P2_1/m (No. 11)
One atom of each set of equivalent atoms:
Ta  0.2013  0.2500  0.1478 x2  4 O 1.84-1.89
Tl  0.1615  0.7500  0.4032 x2  2 O 2.69-2.72
Pb  0.3009  0.7500  0.9341 x2  3 O 2.30-2.48
O  0.0064  0.2500  0.9459 x2  1 Ta 1.87
O  0.0804  0.2500  0.3483 x2  1 Ta 1.84
O  0.3646  0.0144  0.1453 x4  1 Ta 1.89

Values from the calculation:
- electronic total energy (eV per atom) = -7.25
- uncorrected formation energy (meV per atom) = -1861
- mass density (g/cm3) = 6.579

[4]
Entry from the Alexandria database: crystalline ThPa5S6 at its relaxed geometry (PBE).

Unit cell a=6.5342 b=11.9616 c=6.9722 alpha=90.00 beta=110.44 gamma=90.00
Closest atoms and distances in Å follow each position.
Space group C2/m (No. 12)
One atom of each set of equivalent atoms:
Th  0.0000  0.0000  0.0000 x2  6 S 2.81-2.82
Pa  0.0000  0.1633  0.5000 x4  6 S 2.75-2.77
Pa  0.0000  0.3325  0.0000 x4  6 S 2.76-2.77
Pa  0.0000  0.5000  0.5000 x2  6 S 2.74-2.77
S  0.2430  0.5000  0.2501 x4  5 Pa 2.74-2.76, 1 Th 2.81
S  0.2448  0.3305  0.7452 x8  5 Pa 2.75-2.77, 1 Th 2.82

Values from the calculation:
- electronic total energy (eV per atom) = -8.27
- uncorrected formation energy (meV per atom) = -1632
- mass density (g/cm3) = 10.273

Number 1: size of the total moment 0.02 Bohr magnetons per cell. Number 2: size of the total moment 0.00 Bohr magnetons per cell. Number 3: size of the total moment 0.00 Bohr magnetons per cell. Number 4: size of the total moment 0.00 Bohr magnetons per cell.